First-principles (GGA+U) data for crystalline TiMn3Cr2P6O24 at its relaxed geometry, as listed in Alexandria.

Computed properties:
spin magnetization = 19.00 μB/f.u.
E_tot = -0.27791 hartree per atom
SG = R3, No. 146

Lattice parameters (Å, degrees): 8.459 8.459 8.459 61.81 61.81 61.81
Atoms (fractional coordinates):
Mn (0.353, 0.353, 0.353)
Mn (0.646, 0.646, 0.646)
Mn (0.147, 0.147, 0.147)
O (0.090, 0.928, 0.757)
O (0.401, 0.744, 0.570)
O (0.525, 0.319, 0.097)
O (0.097, 0.525, 0.319)
O (0.989, 0.399, 0.179)
O (0.928, 0.757, 0.090)
O (0.249, 0.448, 0.603)
O (0.319, 0.097, 0.525)
O (0.984, 0.610, 0.831)
O (0.898, 0.485, 0.678)
O (0.678, 0.898, 0.485)
O (0.757, 0.090, 0.928)
O (0.399, 0.179, 0.989)
O (0.831, 0.984, 0.610)
O (0.744, 0.570, 0.401)
O (0.179, 0.989, 0.399)
O (0.485, 0.678, 0.898)
O (0.448, 0.603, 0.249)
O (0.610, 0.831, 0.984)
O (0.905, 0.066, 0.248)
O (0.248, 0.905, 0.066)
O (0.570, 0.401, 0.744)
O (0.066, 0.248, 0.905)
O (0.603, 0.249, 0.448)
P (0.750, 0.049, 0.449)
P (0.554, 0.250, 0.948)
P (0.449, 0.750, 0.049)
P (0.049, 0.449, 0.750)
P (0.948, 0.554, 0.250)
P (0.250, 0.948, 0.554)
Cr (0.501, 0.501, 0.501)
Cr (0.000, 0.000, 0.000)
Ti (0.852, 0.852, 0.852)